Hf2CuReGe | the Alexandria database | PBE-GGA | relaxed; ΔH_f (0 K) = 0.93 eV/atom; N(E_F) = 1.0 states/eV/f.u.; total magnetization = 0.00 μB/f.u.; uncorrected energy = -7.287 eV/atom; density = 10.3 g/cm³
1.0
4.935 0.000 0.000
0.000 4.480 0.000
0.000 0.000 4.935
Hf Cu Re Ge
2 1 1 1
direct
0.500 0.000 0.000
0.000 0.000 0.500
0.500 0.500 0.500
0.000 0.500 0.000
0.000 0.000 0.000